No. 1
Density functional theory data (PBE-GGA) for a relaxed structure of InCu5Cl12.

Properties
The calculation puts the uncorrected formation energy at -0.5799 eV/atom. Its density of states at the Fermi level is 12.39 states/eV/cell. The space group is C2/m, No. 12.

abc: 6.437 6.437 12.587
angles: 89.48 89.48 123.73
Last column: magnetic moment on the atom in μB.
Positions (direct):
In 0.000 0.000 0.000  0.00
Cu 0.500 0.500 0.500  0.52
Cu 0.833 0.167 0.500  0.52
Cu 0.167 0.833 0.500  0.52
Cu 0.340 0.660 0.000  0.35
Cu 0.660 0.340 0.000  0.35
Cl 0.192 0.192 0.605  0.19
Cl 0.808 0.808 0.395  0.19
Cl 0.322 0.322 0.119  0.05
Cl 0.678 0.678 0.881  0.05
Cl 0.639 0.967 0.108  0.06
Cl 0.033 0.361 0.892  0.06
Cl 0.967 0.639 0.108  0.06
Cl 0.361 0.033 0.892  0.06
Cl 0.475 0.141 0.395  0.19
Cl 0.141 0.475 0.395  0.19
Cl 0.859 0.525 0.605  0.19
Cl 0.525 0.859 0.605  0.19

=====

No. 2
Density functional theory data (PBE-GGA) for a relaxed structure of InCuCl2.

Properties
The calculation puts the uncorrected formation energy at -0.4770 eV/atom. Its density of states at the Fermi level is 4.56 states/eV/cell. The space group is R-3m, No. 166. The calculation puts the energy above the lowest structure with this stoichiometry at 116 meV per atom.

abc: 7.861 7.861 7.861
angles: 27.27 27.27 27.27
Last column: magnetic moment on the atom in μB.
Positions (direct):
Cl 0.977 0.977 0.977  0.01
Cl 0.523 0.523 0.523  0.01
Cu 0.250 0.250 0.250  0.07
In 0.750 0.750 0.750  0.00

=====

No. 3
Density functional theory data (PBE-GGA) for a relaxed structure of InCuCl6.

Properties
The calculation puts the uncorrected formation energy at -0.6349 eV/atom. The space group is P-1, No. 2.

abc: 7.797 8.591 6.678
angles: 60.48 61.03 39.39
Positions (direct):
In 0.500 0.500 0.500
Cu 0.000 0.000 0.000
Cl 0.127 0.539 0.647
Cl 0.728 0.088 0.854
Cl 0.643 0.215 0.270
Cl 0.272 0.912 0.146
Cl 0.873 0.461 0.353
Cl 0.357 0.785 0.730

=====

No. 4
Density functional theory data (PBE-GGA) for a relaxed structure of KIn2CuCl8.

Properties
The calculation puts the uncorrected formation energy at -1.0733 eV/atom. The space group is R-3, No. 148.

abc: 6.555 6.555 10.185
angles: 71.23 71.23 60.00
Last column: magnetic moment on the atom in μB.
Positions (direct):
K 0.500 0.500 0.500  0.00
In 0.258 0.258 0.225  0.00
In 0.742 0.742 0.775  0.00
Cu 0.000 0.000 0.000  0.10
Cl 0.174 0.174 0.479  0.00
Cl 0.640 0.271 0.158  0.00
Cl 0.826 0.826 0.521  0.00
Cl 0.931 0.640 0.158  0.00
Cl 0.069 0.360 0.842  0.00
Cl 0.271 0.931 0.158  0.00
Cl 0.729 0.069 0.842  0.00
Cl 0.360 0.729 0.842  0.00

=====

No. 5
Density functional theory data (PBE-GGA) for a relaxed structure of KInCuCl6.

Properties
The calculation puts the uncorrected formation energy at -1.0963 eV/atom. The space group is P1, No. 1.

abc: 6.421 6.983 6.986
angles: 95.74 93.17 57.09
Last column: magnetic moment on the atom in μB.
Positions (direct):
K 0.041 0.980 0.000  0.00
In 0.357 0.321 0.500  0.00
Cu 0.665 0.667 0.500  0.50
Cl 0.974 0.396 0.292  0.10
Cl 0.370 0.998 0.676  0.09
Cl 0.626 0.361 0.742  0.01
Cl 0.975 0.629 0.708  0.10
Cl 0.368 0.634 0.324  0.09
Cl 0.624 0.014 0.257  0.01

=====

No. 6
Density functional theory data (PBE-GGA) for a relaxed structure of KInCuCl5.

Properties
The calculation puts the uncorrected formation energy at -1.1590 eV/atom. The space group is C2/c, No. 15.

abc: 7.229 7.229 9.761
angles: 103.79 103.79 106.95
Last column: magnetic moment on the atom in μB.
Positions (direct):
K 0.346 0.654 0.250  0.00
K 0.654 0.346 0.750  0.00
In 0.000 0.000 0.500  0.00
In 0.000 0.000 0.000  0.00
Cu 0.692 0.308 0.250  0.12
Cu 0.308 0.692 0.750  0.12
Cl 0.077 0.923 0.250  0.00
Cl 0.923 0.077 0.750  0.00
Cl 0.901 0.306 0.104  0.00
Cl 0.099 0.694 0.896  0.00
Cl 0.694 0.099 0.396  0.00
Cl 0.306 0.901 0.604  0.00
Cl 0.757 0.625 0.425  0.01
Cl 0.243 0.375 0.575  0.01
Cl 0.375 0.243 0.075  0.01
Cl 0.625 0.757 0.925  0.01

=====

No. 7
Density functional theory data (PBE-GGA) for a relaxed structure of LaInCuCl2.

Properties
The calculation puts the uncorrected formation energy at -0.0147 eV/atom. Its density of states at the Fermi level is 3.48 states/eV/cell. The space group is P4/mmm, No. 123.

abc: 5.193 6.453 5.193
angles: 90.00 90.00 90.00
Positions (direct):
Cl 0.000 0.000 0.500
Cl 0.500 0.000 0.000
In 0.000 0.000 0.000
Cu 0.500 0.500 0.500
La 0.000 0.500 0.000

=====

No. 8
Density functional theory data (PBE-GGA) for a relaxed structure of Li2InCuCl6.

Properties
The calculation puts the uncorrected formation energy at -0.9744 eV/atom. Its density of states at the Fermi level is 1.72 states/eV/cell. The space group is Fm-3m, No. 225.

abc: 7.083 7.083 7.083
angles: 60.00 60.00 60.00
Positions (direct):
Li 0.750 0.750 0.750
Li 0.250 0.250 0.250
In 0.000 0.000 0.000
Cu 0.500 0.500 0.500
Cl 0.254 0.746 0.254
Cl 0.746 0.254 0.254
Cl 0.746 0.254 0.746
Cl 0.254 0.254 0.746
Cl 0.746 0.746 0.254
Cl 0.254 0.746 0.746

=====

No. 9
Density functional theory data (PBE-GGA) for a relaxed structure of Na2InCuCl6.

Properties
The calculation puts the uncorrected formation energy at -1.1096 eV/atom. Its density of states at the Fermi level is 1.88 states/eV/cell. The space group is Fm-3m, No. 225.

abc: 7.110 7.110 7.110
angles: 60.00 60.00 60.00
Positions (direct):
Na 0.750 0.750 0.750
Na 0.250 0.250 0.250
In 0.000 0.000 0.000
Cu 0.500 0.500 0.500
Cl 0.254 0.746 0.254
Cl 0.746 0.254 0.254
Cl 0.746 0.254 0.746
Cl 0.254 0.254 0.746
Cl 0.746 0.746 0.254
Cl 0.254 0.746 0.746

=====

No. 10
Density functional theory data (PBE-GGA) for a relaxed structure of NaInCu2Cl8.

Properties
The calculation puts the uncorrected formation energy at -0.7505 eV/atom. Its density of states at the Fermi level is 8.25 states/eV/cell. The space group is I-4m2, No. 119.

abc: 7.330 7.330 7.330
angles: 107.58 107.58 113.31
Last column: magnetic moment on the atom in μB.
Positions (direct):
Na 0.000 0.000 0.000  0.00
In 0.250 0.750 0.500  -0.01
Cu 0.750 0.250 0.500  0.57
Cu 0.500 0.500 0.000  0.39
Cl 0.372 0.052 0.321  0.15
Cl 0.314 0.514 0.199  0.08
Cl 0.314 0.115 0.801  0.08
Cl 0.731 0.052 0.679  0.15
Cl 0.885 0.686 0.199  0.08
Cl 0.948 0.269 0.321  0.15
Cl 0.948 0.628 0.679  0.15
Cl 0.486 0.686 0.801  0.08

=====

No. 11
Density functional theory data (PBE-GGA) for a relaxed structure of InCuPbCl6.

Properties
The calculation puts the uncorrected formation energy at -0.9252 eV/atom. The space group is P-31c, No. 163.

abc: 6.610 6.610 12.623
angles: 90.00 90.00 120.00
Last column: magnetic moment on the atom in μB.
Positions (direct):
In 0.667 0.333 0.250  0.00
In 0.333 0.667 0.750  0.00
Cu 0.333 0.667 0.250  0.09
Cu 0.667 0.333 0.750  0.09
Pb 0.000 0.000 0.000  0.00
Pb 0.000 0.000 0.500  0.00
Cl 0.636 0.639 0.137  0.00
Cl 0.003 0.364 0.137  0.00
Cl 0.364 0.003 0.637  0.00
Cl 0.997 0.636 0.863  0.00
Cl 0.361 0.364 0.363  0.00
Cl 0.003 0.639 0.363  0.00
Cl 0.639 0.003 0.863  0.00
Cl 0.636 0.997 0.363  0.00
Cl 0.997 0.361 0.637  0.00
Cl 0.361 0.997 0.137  0.00
Cl 0.639 0.636 0.637  0.00
Cl 0.364 0.361 0.863  0.00

=====

No. 12
Density functional theory data (PBE-GGA) for a relaxed structure of InCuPtCl2.

Properties
The calculation puts the uncorrected formation energy at 0.7801 eV/atom. Its density of states at the Fermi level is 3.41 states/eV/cell. The space group is P4/mmm, No. 123.

abc: 5.063 5.336 5.063
angles: 90.00 90.00 90.00
Last column: magnetic moment on the atom in μB.
Positions (direct):
Cl 0.000 0.000 0.500  0.02
Cl 0.500 0.000 0.000  0.01
Cu 0.000 0.500 0.000  0.00
Pt 0.500 0.500 0.500  0.33
In 0.000 0.000 0.000  0.00

=====

Question: Number 2 is which compound?
Answer: InCuCl2